[1]
Density functional theory data (PBE) for crystalline Ba6Na23Al at its relaxed geometry.

Geometry as POSCAR:
```
Ba6Na23Al
1.0
0.000 8.597 8.597
8.597 0.000 8.597
8.597 8.597 0.000
Ba Na Al
6 23 1
Direct
0.198 0.198 0.802 Ba
0.198 0.802 0.198 Ba
0.198 0.802 0.802 Ba
0.802 0.198 0.198 Ba
0.802 0.198 0.802 Ba
0.802 0.802 0.198 Ba
0.000 0.000 0.500 Na
0.000 0.500 0.000 Na
0.000 0.500 0.500 Na
0.144 0.619 0.619 Na
0.172 0.172 0.172 Na
0.172 0.172 0.484 Na
0.172 0.484 0.172 Na
0.381 0.381 0.381 Na
0.381 0.381 0.856 Na
0.381 0.856 0.381 Na
0.484 0.172 0.172 Na
0.500 0.000 0.000 Na
0.500 0.000 0.500 Na
0.500 0.500 0.000 Na
0.500 0.500 0.500 Na
0.516 0.828 0.828 Na
0.619 0.144 0.619 Na
0.619 0.619 0.144 Na
0.619 0.619 0.619 Na
0.828 0.516 0.828 Na
0.828 0.828 0.516 Na
0.828 0.828 0.828 Na
0.856 0.381 0.381 Na
0.000 0.000 0.000 Al
```

DFT total energy = -45.8 eV/cell
formation enthalpy at 0 K = -0.006 eV per atom

***

[2]
Density functional theory data (PBE) for crystalline FeHgRh2C at its relaxed geometry.

Geometry as POSCAR:
```
FeHgRh2C
1.0
4.148 0.000 0.000
0.000 4.148 0.000
0.000 0.000 3.935
Fe Hg Rh C
1 1 2 1
Direct
0.000 0.000 0.000 Fe
0.500 0.500 0.000 Hg
0.000 0.500 0.500 Rh
0.500 0.000 0.500 Rh
0.000 0.000 0.500 C
```

DFT total energy = -31.9 eV/cell
formation enthalpy at 0 K = 0.160 eV per atom

***

[3]
Density functional theory data (PBE) for crystalline PrNd4Gd at its relaxed geometry.

Geometry as POSCAR:
```
PrNd4Gd
1.0
0.000 4.774 4.774
4.774 0.000 4.774
4.774 4.774 0.000
Pr Nd Gd
1 4 1
Direct
0.000 0.000 0.000 Pr
0.125 0.625 0.625 Nd
0.625 0.125 0.625 Nd
0.625 0.625 0.125 Nd
0.625 0.625 0.625 Nd
0.250 0.250 0.250 Gd
```

DFT total energy = -36.5 eV/cell
formation enthalpy at 0 K = 0.237 eV per atom

***

[4]
Density functional theory data (PBE) for crystalline RbScZn2 at its relaxed geometry.

Geometry as POSCAR:
```
RbScZn2
1.0
-4.133 4.133 3.673
4.133 -4.133 3.673
4.133 4.133 -3.673
Rb Sc Zn
2 2 4
Direct
0.000 0.000 0.000 Rb
0.750 0.250 0.500 Rb
0.250 0.750 0.500 Sc
0.500 0.500 0.000 Sc
0.182 0.625 0.057 Zn
0.375 0.432 0.557 Zn
0.568 0.125 0.943 Zn
0.875 0.818 0.443 Zn
```

DFT total energy = -15.7 eV/cell
formation enthalpy at 0 K = 0.496 eV per atom

***

[5]
Density functional theory data (PBE) for crystalline Th6HgRu3 at its relaxed geometry.

Geometry as POSCAR:
```
Th6HgRu3
1.0
11.854 0.000 0.000
0.000 4.103 0.000
-3.489 0.000 11.689
Th Hg Ru
12 2 6
Direct
0.014 0.250 0.383 Th
0.118 0.250 0.956 Th
0.202 0.750 0.254 Th
0.297 0.750 0.763 Th
0.346 0.250 0.533 Th
0.416 0.750 0.088 Th
0.584 0.250 0.912 Th
0.654 0.750 0.467 Th
0.703 0.250 0.237 Th
0.798 0.250 0.746 Th
0.882 0.750 0.044 Th
0.986 0.750 0.617 Th
0.442 0.250 0.307 Hg
0.558 0.750 0.693 Hg
0.034 0.250 0.162 Ru
0.175 0.750 0.488 Ru
0.348 0.250 0.919 Ru
0.652 0.750 0.081 Ru
0.825 0.250 0.512 Ru
0.966 0.750 0.838 Ru
```

DFT total energy = -151.9 eV/cell
formation enthalpy at 0 K = -0.332 eV per atom